Entry 1:
Compound: FeAgSe2
Source: Alexandria
Functional: GGA-PBEsol
Structure: relaxed

Cell lengths 3.0339, 3.0339, 7.0743 Å; angles 90.00, 90.00, 90.00 degrees
Closest atoms and distances in Å follow each position.
Space group P4/mmm (No. 123)
Asymmetric unit:
Fe 0.0000 0.0000 0.0000  8 Se 2.60
Ag 0.0000 0.0000 0.5000  8 Se 2.98, 4 Ag 3.03
Se 0.5000 0.5000 0.2067  4 Fe 2.60

## Properties
The density of states at the Fermi level comes out at 2.77 states/eV/f.u. The total magnetic moment is 2.0 μB/cell. For the raw formation energy, the calculation gives 0.142 eV per atom.

=====

Entry 2:
Compound: FeAgSe2
Source: Alexandria
Functional: GGA-PBEsol
Structure: relaxed

Cell lengths 2.7963, 2.7963, 32.0327 Å; angles 90.00, 90.00, 120.00 degrees
Closest atoms and distances in Å follow each position.
Space group R-3m (No. 166, hexagonal axes)
Asymmetric unit:
Fe 0.0000 0.0000 0.0000  2 Se 2.32
Ag 0.0000 0.0000 0.5000  6 Ag 2.80
Se 0.0000 0.0000 0.0724  1 Fe 2.32

## Properties
The density of states at the Fermi level comes out at 3.95 states/eV/f.u. The total magnetic moment is 6.7 μB/cell. For the raw formation energy, the calculation gives 0.441 eV per atom.

=====

Entry 3:
Compound: FeAgSe2
Source: Alexandria
Functional: GGA-PBEsol
Structure: relaxed

Cell lengths 3.1267, 3.5201, 12.9039 Å; angles 90.00, 90.00, 90.00 degrees
Closest atoms and distances in Å follow each position.
Space group Imm2 (No. 44)
Asymmetric unit:
Fe 0.0000 0.0000 0.0000  6 Se 2.41-2.55
Ag 0.0000 0.5000 0.2626  6 Se 2.73-2.82
Se 0.0000 0.0000 0.4246  4 Fe 2.55, 2 Ag 2.73
Se 0.0000 0.5000 0.6423  2 Fe 2.41

## Properties
The density of states at the Fermi level comes out at 2.73 states/eV/f.u. The total magnetic moment is 5.4 μB/cell. For the raw formation energy, the calculation gives 0.043 eV per atom.

=====

Entry 4:
Compound: FeAgSe3
Source: Alexandria
Functional: GGA-PBEsol
Structure: relaxed

Cell lengths 4.6757, 4.6757, 4.6757 Å; angles 90.00, 90.00, 90.00 degrees
Closest atoms and distances in Å follow each position.
Space group Pm-3m (No. 221)
Asymmetric unit:
Fe 0.0000 0.0000 0.0000  6 Se 2.34
Ag 0.5000 0.5000 0.5000  12 Se 3.31
Se 0.0000 0.0000 0.5000  2 Fe 2.34

## Properties
The density of states at the Fermi level comes out at 5.61 states/eV/f.u. The total magnetic moment is 3.1 μB/cell. For the raw formation energy, the calculation gives 0.389 eV per atom.

=====

Entry 5:
Compound: Fe2AgSe2
Source: Alexandria
Functional: GGA-PBEsol
Structure: relaxed

Cell lengths 4.5993, 4.5993, 7.7368 Å; angles 90.00, 90.00, 90.00 degrees
Closest atoms and distances in Å follow each position.
Space group I4/mmm (No. 139)
Asymmetric unit:
Fe 0.0000 0.0000 0.1396  1 Fe 2.16
Ag 0.0000 0.0000 0.5000  2 Fe 2.79, 8 Se 3.00
Se 0.0000 0.5000 0.2500  4 Fe 2.45

## Properties
The density of states at the Fermi level comes out at 3.83 states/eV/f.u. The total magnetic moment is 9.2 μB/cell. For the raw formation energy, the calculation gives 0.255 eV per atom.

=====

Entry 6:
Compound: Fe2AgSe
Source: Alexandria
Functional: GGA-PBEsol
Structure: relaxed

Cell lengths 2.9540, 2.9540, 6.2709 Å; angles 90.00, 90.00, 90.00 degrees
Closest atoms and distances in Å follow each position.
Space group P4/mmm (No. 123)
Asymmetric unit:
Fe 0.0000 0.0000 0.2163  4 Se 2.49, 1 Fe 2.71, 4 Ag 2.74
Ag 0.5000 0.5000 0.5000  8 Fe 2.74, 4 Ag 2.95
Se 0.5000 0.5000 0.0000  8 Fe 2.49

## Properties
The density of states at the Fermi level comes out at 4.26 states/eV/f.u. The total magnetic moment is 4.5 μB/cell. For the raw formation energy, the calculation gives 0.313 eV per atom.

=====

Entry 7:
Compound: Fe2AgSe
Source: Alexandria
Functional: GGA-PBEsol
Structure: relaxed

Cell lengths 2.9853, 4.3702, 8.7712 Å; angles 90.00, 90.00, 90.00 degrees
Closest atoms and distances in Å follow each position.
Space group Imm2 (No. 44)
Asymmetric unit:
Fe 0.0000 0.0000 0.0000  2 Se 2.41, 2 Fe 2.47, 4 Ag 2.65
Fe 0.0000 0.5000 0.2759  2 Fe 2.47, 4 Se 2.70
Ag 0.0000 0.0000 0.4934  8 Fe 2.65-2.90, 4 Se 2.85-2.93
Se 0.0000 0.5000 0.7160  6 Fe 2.41-2.70

## Properties
The density of states at the Fermi level comes out at 2.67 states/eV/f.u. The total magnetic moment is 9.9 μB/cell. For the raw formation energy, the calculation gives 0.345 eV per atom.

=====

Entry 8:
Compound: FeAgSe2
Source: Alexandria
Functional: GGA-PBEsol
Structure: relaxed

Cell lengths 6.4249, 6.4249, 6.4249 Å; angles 90.00, 90.00, 90.00 degrees
Closest atoms and distances in Å follow each position.
Space group Fm-3m (No. 225)
Asymmetric unit:
Fe 0.0000 0.0000 0.0000  8 Se 2.78
Ag 0.0000 0.0000 0.5000  8 Se 2.78
Se 0.2500 0.2500 0.2500  4 Fe 2.78, 4 Ag 2.78

## Properties
The density of states at the Fermi level comes out at 6.73 states/eV/f.u. The total magnetic moment is 9.4 μB/cell. For the raw formation energy, the calculation gives 0.322 eV per atom.

=====

Entry 9:
Compound: FeSiAg2
Source: Alexandria
Functional: GGA-PBEsol
Structure: relaxed

Cell lengths 2.7969, 4.4059, 9.4314 Å; angles 90.00, 90.00, 90.00 degrees
Closest atoms and distances in Å follow each position.
Space group Immm (No. 71)
Asymmetric unit:
Fe 0.0000 0.0000 0.0000  4 Si 2.61, 2 Fe 2.80, 4 Ag 2.89
Si 0.0000 0.0000 0.5000  4 Ag 2.59, 4 Fe 2.61, 2 Si 2.80
Ag 0.0000 0.5000 0.2314  2 Si 2.59, 6 Ag 2.63-2.80, 2 Fe 2.89

## Properties
The density of states at the Fermi level comes out at 3.08 states/eV/f.u. The total magnetic moment is 4.5 μB/cell. For the raw formation energy, the calculation gives 0.246 eV per atom.

=====

Entry 10:
Compound: Fe2SiAg
Source: Alexandria
Functional: GGA-PBEsol
Structure: relaxed

Cell lengths 3.0196, 4.1288, 8.0494 Å; angles 90.00, 90.00, 90.00 degrees
Closest atoms and distances in Å follow each position.
Space group Imm2 (No. 44)
Asymmetric unit:
Fe 0.0000 0.0000 0.0000  2 Si 2.36, 2 Fe 2.51, 4 Ag 2.56
Fe 0.0000 0.5000 0.2517  2 Fe 2.51, 4 Si 2.57, 4 Ag 2.67-2.75
Si 0.0000 0.5000 0.7255  6 Fe 2.36-2.57, 2 Ag 2.53
Ag 0.0000 0.0000 0.4782  2 Si 2.53, 8 Fe 2.56-2.75

## Properties
The density of states at the Fermi level comes out at 3.16 states/eV/f.u. The total magnetic moment is 8.5 μB/cell. For the raw formation energy, the calculation gives 0.138 eV per atom.

=====

Entry 11:
Compound: FeSiAg2
Source: Alexandria
Functional: GGA-PBEsol
Structure: relaxed

Cell lengths 6.1214, 6.1214, 6.1214 Å; angles 90.00, 90.00, 90.00 degrees
Closest atoms and distances in Å follow each position.
Space group F-43m (No. 216)
Asymmetric unit:
Fe 0.0000 0.0000 0.0000  4 Ag 2.65, 4 Si 2.65
Si 0.2500 0.2500 0.2500  4 Fe 2.65, 4 Ag 2.65
Ag 0.0000 0.0000 0.5000  4 Si 2.65, 4 Ag 2.65
Ag 0.2500 0.2500 0.7500  4 Fe 2.65, 4 Ag 2.65

## Properties
The density of states at the Fermi level comes out at 4.01 states/eV/f.u. The total magnetic moment is 8.9 μB/cell. For the raw formation energy, the calculation gives 0.279 eV per atom.

=====

Entry 12:
Compound: Fe2SiAg
Source: Alexandria
Functional: GGA-PBEsol
Structure: relaxed

Cell lengths 2.6488, 2.6488, 24.8407 Å; angles 90.00, 90.00, 120.00 degrees
Closest atoms and distances in Å follow each position.
Space group R-3m (No. 166, hexagonal axes)
Asymmetric unit:
Fe 0.0000 0.0000 0.2418  3 Si 2.41, 6 Fe 2.65
Si 0.0000 0.0000 0.5000  6 Fe 2.41, 6 Si 2.65
Ag 0.0000 0.0000 0.0000  6 Ag 2.65, 6 Fe 2.74

## Properties
The density of states at the Fermi level comes out at 3.64 states/eV/f.u. The total magnetic moment is 11.9 μB/cell. For the raw formation energy, the calculation gives 0.110 eV per atom.